Entry from the Alexandria database: HgWAu2 after structural relaxation (GGA-PBE).

Summary:
Spin magnetization, μB per formula unit: 0.0
Energy, eV per atom: -4.426
Space-group type: No. 25
ΔE_f, eV per atom: 0.53

The structure in extended XYZ format:
```
4
Lattice="-1.5022 1.7551 1.6765 -2.9425 0.2542 -2.9025 -2.8851 -4.8570 2.4995" Properties=species:S:1:pos:R:3 pbc="T T T"
Hg -1.4534 -2.4467 1.2591
Au -2.9218 -0.1730 -0.0070
Au -2.8313 -4.7665 2.4529
W -4.4509 -2.7471 1.3177
```